Material: MnAg3Pd3O8
Method: DFT, GGA+U
State: relaxed

Computed properties:
The mass density comes out at 6.29 g cm⁻³. The calculation puts the energy at -78.22 eV per cell. For the density of states at the Fermi level, the calculation gives 6.59 states/eV/cell. The calculation puts the total magnetization at 3.743 μB/cell.

Unit cell a=6.4004 b=6.2549 c=9.4696 alpha=129.65 beta=90.00 gamma=120.77
With the nearest neighbours (Å) after each atom.
Atoms (fractional coordinates):
Mn: 0.0000 0.0000 0.5000  6 O 1.98-2.16
Ag: 0.0000 0.5000 0.0000  2 O 2.12
O: 0.2222 0.4444 0.3293  3 Pd 2.09-2.13, 1 Ag 2.09
Pd: 0.0000 0.5000 0.5000  6 O 2.06-2.13
Pd: 0.5000 0.0000 0.5000  6 O 2.07-2.09
O: 0.2852 0.0513 0.6659  2 Pd 2.07-2.08, 1 Ag 2.12, 1 Mn 2.16
O: 0.7778 0.5556 0.6707  3 Pd 2.09-2.13, 1 Ag 2.09
O: 0.2577 0.5154 0.6432  1 Mn 1.98, 2 Pd 2.06
O: 0.7148 0.9487 0.3341  2 Pd 2.07-2.08, 1 Ag 2.12, 1 Mn 2.16
Ag: 0.5000 0.5000 0.0000  2 O 2.12
O: 0.7423 0.4846 0.3568  1 Mn 1.98, 2 Pd 2.06
O: 0.7661 0.0513 0.6659  2 Pd 2.07-2.08, 1 Ag 2.12, 1 Mn 2.16
Pd: 0.5000 0.5000 0.5000  6 O 2.06-2.13
Ag: 0.0000 0.0000 0.0000  2 O 2.09
O: 0.2339 0.9487 0.3341  2 Pd 2.07-2.08, 1 Ag 2.12, 1 Mn 2.16